(1)
! FeNiMoPt (PBE-GGA, relaxed); values from VASP
&SYSTEM
  ibrav = 0, nat = 4, ntyp = 4
/
ATOMIC_SPECIES
Pt 195.08 Pt.upf
Mo 95.94 Mo.upf
Fe 55.84 Fe.upf
Ni 58.69 Ni.upf
ATOMIC_POSITIONS crystal
Pt 0.750 0.750 0.750
Mo 0.250 0.250 0.250
Fe 0.500 0.500 0.500
Ni 0.000 0.000 0.000
CELL_PARAMETERS angstrom
-0.372 2.473 3.418
-3.761 1.664 1.010
-2.088 -1.399 3.409
! Total magnetization (Bohr magnetons per cell): 2.27
! E_form (eV per atom): -0.050
! ΔE to the lowest computed polymorph (meV per atom): 92
! Uncorrected energy (eV per atom): -7.8292
! Space-group type: No. 216

***

(2)
! Rb2PtSe (PBE-GGA, relaxed); values from VASP
&SYSTEM
  ibrav = 0, nat = 4, ntyp = 3
/
ATOMIC_SPECIES
Se 78.96 Se.upf
Rb 85.47 Rb.upf
Pt 195.08 Pt.upf
ATOMIC_POSITIONS crystal
Se 0.000 0.000 0.000
Rb 0.250 0.250 0.250
Rb 0.750 0.750 0.750
Pt 0.500 0.500 0.500
CELL_PARAMETERS angstrom
0.000 4.031 4.031
4.031 0.000 4.031
4.031 4.031 0.000
! Total magnetization (Bohr magnetons per cell): 0.79
! ΔE to the lowest computed polymorph (meV per atom): 535
! Uncorrected energy (eV per atom): -2.7770
! Space-group type: No. 225
! ΔE_f (raw) (meV/atom): 88